(1)
A relaxed structure of Cr2SiSb, computed with PBE-GGA.

Unit cell a=8.196 b=3.074 c=5.063 alpha=90.00 beta=99.95 gamma=90.00
Space group C2/m (No. 12)
One atom of each set of equivalent atoms:
Cr1 0.244 0.000 0.166 [4 per cell]
Si1 0.000 0.500 0.000 [2 per cell]
Sb1 0.000 0.000 0.500 [2 per cell]

The value obtained for the relative energy among the computed polymorphs is 2.782 kcal/mol of atoms. The value obtained for the calculated volume is 125.6 Å³ per cell. The uncorrected formation energy is 1.13 eV per formula unit.

(2)
A relaxed structure of K2AsS4, computed with PBE-GGA.

Unit cell a=7.131 b=5.567 c=11.900 alpha=90.00 beta=95.34 gamma=90.00
Space group P2_1/m (No. 11)
One atom of each set of equivalent atoms:
K1 0.223 0.250 0.440 [2 per cell]
K2 0.234 0.250 0.919 [2 per cell]
As1 0.287 0.750 0.241 [2 per cell]
S1 0.022 0.750 0.328 [2 per cell]
S2 0.240 0.750 0.058 [2 per cell]
S3 0.407 0.061 0.689 [4 per cell]

The value obtained for the relative energy among the computed polymorphs is 0.332 kcal/mol of atoms. The value obtained for the calculated volume is 470.4 Å³ per cell. The uncorrected formation energy is -3.58 eV per formula unit.

(3)
A relaxed structure of Hf2AsS, computed with PBE-GGA.

Unit cell a=5.571 b=8.779 c=6.941 alpha=90.00 beta=90.00 gamma=90.00
Space group Pna2_1 (No. 33)
One atom of each set of equivalent atoms:
Hf1 0.030 0.091 0.000 [4 per cell]
Hf2 0.114 0.678 0.114 [4 per cell]
As1 0.017 0.402 0.974 [4 per cell]
S1 0.059 0.161 0.352 [4 per cell]

The value obtained for the relative energy among the computed polymorphs is 5.493 kcal/mol of atoms. The value obtained for the calculated volume is 339.5 Å³ per cell. The uncorrected formation energy is -3.36 eV per formula unit.

(4)
A relaxed structure of Pm4PtCCl2, computed with PBE-GGA.

Unit cell a=7.206 b=3.889 c=7.362 alpha=90.00 beta=108.27 gamma=90.00
Space group P2/m (No. 10)
One atom of each set of equivalent atoms:
Pm1 0.209 0.000 0.200 [2 per cell]
Pm2 0.236 0.500 0.796 [2 per cell]
Pt1 0.500 0.000 0.000 [1 per cell]
C1 0.000 0.500 0.000 [1 per cell]
Cl1 0.000 0.000 0.500 [1 per cell]
Cl2 0.500 0.500 0.500 [1 per cell]

The value obtained for the calculated volume is 195.9 Å³ per cell. The uncorrected formation energy is -8.77 eV per formula unit.

(5)
A relaxed structure of Sc2BePdC, computed with PBE-GGA.

Unit cell a=4.595 b=4.595 c=3.452 alpha=90.00 beta=90.00 gamma=90.00
Space group P4/mmm (No. 123)
One atom of each set of equivalent atoms:
Sc1 0.000 0.500 0.000 [2 per cell]
Be1 0.000 0.000 0.500 [1 per cell]
Pd1 0.500 0.500 0.500 [1 per cell]
C1 0.000 0.000 0.000 [1 per cell]

For the energy relative to the elements, the calculation gives -0.555 eV per atom. The value obtained for the calculated volume is 72.9 Å³ per cell.

(6)
A relaxed structure of KAuI3, computed with PBE-GGA.

Unit cell a=6.182 b=6.182 c=24.656 alpha=90.00 beta=90.00 gamma=90.00
Space group I-4m2 (No. 119)
One atom of each set of equivalent atoms:
K1 0.000 0.000 0.088 [4 per cell]
Au1 0.000 0.000 0.500 [2 per cell]
Au2 0.000 0.500 0.250 [2 per cell]
I1 0.000 0.245 0.343 [8 per cell]
I2 0.000 0.500 0.509 [4 per cell]

The value obtained for the calculated volume is 942.3 Å³ per cell. The uncorrected formation energy is -2.32 eV per formula unit.

(7)
A relaxed structure of RbLa2MnSb, computed with PBE-GGA.

Unit cell a=5.672 b=5.672 c=5.790 alpha=90.00 beta=90.00 gamma=90.00
Space group P4/mmm (No. 123)
One atom of each set of equivalent atoms:
Rb1 0.000 0.000 0.000 [1 per cell]
La1 0.000 0.500 0.000 [2 per cell]
Mn1 0.500 0.500 0.500 [1 per cell]
Sb1 0.000 0.000 0.500 [1 per cell]

The value obtained for the calculated volume is 186.3 Å³ per cell. The uncorrected formation energy is 9.11 eV per formula unit.

(8)
A relaxed structure of SrLiTa, computed with PBE-GGA.

Unit cell a=7.607 b=7.607 c=7.607 alpha=90.00 beta=90.00 gamma=90.00
Space group F-43m (No. 216)
One atom of each set of equivalent atoms:
Sr1 0.000 0.000 0.000 [4 per cell]
Li1 0.250 0.250 0.750 [4 per cell]
Ta1 0.250 0.250 0.250 [4 per cell]

The value obtained for the relative energy among the computed polymorphs is 35.102 kcal/mol of atoms. For the energy relative to the elements, the calculation gives 1.895 eV per atom. The value obtained for the calculated volume is 440.1 Å³ per cell.

(9)
A relaxed structure of TcSe2Cl, computed with PBE-GGA.

Unit cell a=3.379 b=3.379 c=7.431 alpha=90.00 beta=90.00 gamma=90.00
Space group P4mm (No. 99)
One atom of each set of equivalent atoms:
Tc1 0.000 0.000 0.000 [1 per cell]
Se1 0.000 0.000 0.659 [1 per cell]
Se2 0.500 0.500 0.864 [1 per cell]
Cl1 0.500 0.500 0.251 [1 per cell]

The value obtained for the relative energy among the computed polymorphs is 11.254 kcal/mol of atoms. The value obtained for the calculated volume is 84.8 Å³ per cell. The uncorrected formation energy is 1.07 eV per formula unit.

(10)
A relaxed structure of BaAsI2, computed with PBE-GGA.

Unit cell a=8.529 b=8.529 c=8.529 alpha=90.00 beta=90.00 gamma=90.00
Space group Fm-3m (No. 225)
One atom of each set of equivalent atoms:
Ba1 0.000 0.000 0.000 [4 per cell]
As1 0.000 0.000 0.500 [4 per cell]
I1 0.250 0.250 0.250 [8 per cell]

The value obtained for the relative energy among the computed polymorphs is 0.000 kcal/mol of atoms. The value obtained for the calculated volume is 620.5 Å³ per cell. The uncorrected formation energy is -2.50 eV per formula unit.

(11)
A relaxed structure of BaGa3Os, computed with PBE-GGA.

Unit cell a=12.050 b=12.543 c=5.966 alpha=90.00 beta=90.84 gamma=90.00
Space group C2/c (No. 15)
One atom of each set of equivalent atoms:
Ba1 0.176 0.111 0.422 [8 per cell]
Ga1 0.074 0.176 0.923 [8 per cell]
Ga2 0.086 0.459 0.404 [8 per cell]
Ga3 0.180 0.350 0.046 [8 per cell]
Os1 0.000 0.291 0.250 [4 per cell]
Os2 0.000 0.356 0.750 [4 per cell]

The value obtained for the relative energy among the computed polymorphs is 6.148 kcal/mol of atoms. For the energy relative to the elements, the calculation gives -0.131 eV per atom. The value obtained for the calculated volume is 901.7 Å³ per cell.

(12)
A relaxed structure of Na2IrCl2O2, computed with PBE-GGA.

Unit cell a=3.997 b=3.997 c=15.394 alpha=90.00 beta=90.00 gamma=90.00
Space group I4/mmm (No. 139)
One atom of each set of equivalent atoms:
Na1 0.000 0.000 0.105 [4 per cell]
Ir1 0.000 0.000 0.500 [2 per cell]
Cl1 0.000 0.000 0.344 [4 per cell]
O1 0.000 0.500 0.000 [4 per cell]

The value obtained for the calculated volume is 245.9 Å³ per cell. The uncorrected formation energy is -7.65 eV per formula unit.

(13)
A relaxed structure of LaGdCoPt, computed with PBE-GGA.

Unit cell a=7.060 b=7.060 c=7.060 alpha=90.00 beta=90.00 gamma=90.00
Space group F-43m (No. 216)
One atom of each set of equivalent atoms:
La1 0.000 0.000 0.000 [4 per cell]
Gd1 0.000 0.000 0.500 [4 per cell]
Co1 0.250 0.250 0.750 [4 per cell]
Pt1 0.250 0.250 0.250 [4 per cell]

For the energy relative to the elements, the calculation gives -0.540 eV per atom. The value obtained for the calculated volume is 351.9 Å³ per cell.

(14)
A relaxed structure of Bi3AsPd3, computed with PBE-GGA.

Unit cell a=7.264 b=13.073 c=7.066 alpha=90.00 beta=104.57 gamma=90.00
Space group C2/m (No. 12)
One atom of each set of equivalent atoms:
Bi1 0.000 0.198 0.000 [4 per cell]
Bi2 0.000 0.257 0.500 [4 per cell]
Bi3 0.139 0.500 0.855 [4 per cell]
As1 0.196 0.000 0.528 [4 per cell]
Pd1 0.031 0.000 0.812 [4 per cell]
Pd2 0.195 0.353 0.248 [8 per cell]

For the energy relative to the elements, the calculation gives -0.239 eV per atom. The value obtained for the calculated volume is 649.4 Å³ per cell.

(15)
A relaxed structure of Ac7Cu2Hg2, computed with PBE-GGA.

Unit cell a=8.497 b=12.284 c=7.752 alpha=90.00 beta=90.00 gamma=90.00
Space group Cmmm (No. 65)
One atom of each set of equivalent atoms:
Ac1 0.000 0.000 0.000 [2 per cell]
Ac2 0.000 0.500 0.246 [4 per cell]
Ac3 0.250 0.250 0.261 [8 per cell]
Cu1 0.000 0.299 0.000 [4 per cell]
Hg1 0.172 0.000 0.500 [4 per cell]

For the energy relative to the elements, the calculation gives -0.047 eV per atom. The value obtained for the calculated volume is 809.1 Å³ per cell.

(16)
A relaxed structure of Pm2Tl3CdTe6, computed with PBE-GGA.

Unit cell a=7.800 b=13.570 c=8.360 alpha=90.00 beta=108.28 gamma=90.00
Space group C2/m (No. 12)
One atom of each set of equivalent atoms:
Pm1 0.000 0.165 0.000 [4 per cell]
Tl1 0.000 0.000 0.500 [2 per cell]
Tl2 0.000 0.328 0.500 [4 per cell]
Cd1 0.000 0.500 0.000 [2 per cell]
Te1 0.237 0.336 0.220 [8 per cell]
Te2 0.247 0.000 0.224 [4 per cell]

The value obtained for the calculated volume is 840.3 Å³ per cell. The uncorrected formation energy is -9.12 eV per formula unit.

(17)
A relaxed structure of K2AgO, computed with PBE-GGA.

Unit cell a=3.6715 b=3.6715 c=29.5475 alpha=90.00 beta=90.00 gamma=120.00
Space group R-3m (No. 166, hexagonal axes)
One atom of each set of equivalent atoms:
K1 0.0000 0.0000 0.1171 [6 per cell]
Ag1 0.0000 0.0000 0.0000 [3 per cell]
O1 0.0000 0.0000 0.5000 [3 per cell]

The value obtained for the calculated volume is 344.9 Å³ per cell. The uncorrected formation energy is -1.70 eV per formula unit.

(18)
A relaxed structure of CdBPCl2, computed with PBE-GGA.

Unit cell a=4.355 b=4.355 c=4.598 alpha=90.00 beta=90.00 gamma=90.00
Space group P4/mmm (No. 123)
One atom of each set of equivalent atoms:
Cd1 0.000 0.000 0.000 [1 per cell]
B1 0.500 0.500 0.500 [1 per cell]
P1 0.500 0.500 0.000 [1 per cell]
Cl1 0.000 0.500 0.500 [2 per cell]

The value obtained for the relative energy among the computed polymorphs is 0.000 kcal/mol of atoms. The value obtained for the calculated volume is 87.2 Å³ per cell. The uncorrected formation energy is 2.36 eV per formula unit.

(19)
A relaxed structure of ZnAs2SeN, computed with PBE-GGA.

Unit cell a=4.862 b=4.862 c=4.975 alpha=90.00 beta=90.00 gamma=90.00
Space group P4/mmm (No. 123)
One atom of each set of equivalent atoms:
Zn1 0.000 0.000 0.000 [1 per cell]
As1 0.000 0.500 0.000 [2 per cell]
Se1 0.000 0.000 0.500 [1 per cell]
N1 0.500 0.500 0.500 [1 per cell]

The value obtained for the relative energy among the computed polymorphs is 18.573 kcal/mol of atoms. The value obtained for the calculated volume is 117.6 Å³ per cell. The uncorrected formation energy is 8.11 eV per formula unit.

(20)
A relaxed structure of LaN2Cl3, computed with PBE-GGA.

Unit cell a=18.108 b=5.605 c=8.616 alpha=90.00 beta=90.00 gamma=90.00
Space group Cmcm (No. 63)
One atom of each set of equivalent atoms:
La1 0.000 0.001 0.250 [4 per cell]
N1 0.187 0.497 0.750 [8 per cell]
Cl1 0.000 0.499 0.750 [4 per cell]
Cl2 0.099 0.000 0.000 [8 per cell]

The value obtained for the calculated volume is 874.4 Å³ per cell. The uncorrected formation energy is 1.01 eV per formula unit.

(21)
A relaxed structure of LuBe2Ru, computed with PBE-GGA.

Unit cell a=3.8534 b=3.8534 c=14.0011 alpha=90.00 beta=90.00 gamma=120.00
Space group R-3m (No. 166, hexagonal axes)
One atom of each set of equivalent atoms:
Lu1 0.0000 0.0000 0.0000 [3 per cell]
Be1 0.0000 0.0000 0.1971 [6 per cell]
Ru1 0.0000 0.0000 0.5000 [3 per cell]

For the energy relative to the elements, the calculation gives -0.250 eV per atom. The value obtained for the calculated volume is 180.0 Å³ per cell.

(22)
A relaxed structure of Ac2In5Cu3, computed with PBE-GGA.

Unit cell a=11.248 b=13.152 c=6.596 alpha=90.00 beta=90.00 gamma=90.00
Space group Ibam (No. 72)
One atom of each set of equivalent atoms:
Ac1 0.245 0.130 0.000 [8 per cell]
In1 0.000 0.259 0.250 [8 per cell]
In2 0.000 0.500 0.250 [4 per cell]
In3 0.136 0.111 0.500 [8 per cell]
Cu1 0.000 0.000 0.250 [4 per cell]
Cu2 0.132 0.378 0.000 [8 per cell]

For the energy relative to the elements, the calculation gives -0.313 eV per atom. The value obtained for the calculated volume is 975.7 Å³ per cell.

(23)
A relaxed structure of LiPtI, computed with PBE-GGA.

Unit cell a=4.5512 b=4.5512 c=3.9074 alpha=90.00 beta=90.00 gamma=120.00
Space group P-6m2 (No. 187)
One atom of each set of equivalent atoms:
Li1 0.0000 0.0000 0.0000 [1 per cell]
Pt1 0.6667 0.3333 0.5000 [1 per cell]
I1 0.3333 0.6667 0.5000 [1 per cell]

The value obtained for the relative energy among the computed polymorphs is 9.307 kcal/mol of atoms. The value obtained for the calculated volume is 70.1 Å³ per cell. The uncorrected formation energy is -0.53 eV per formula unit.

(24)
A relaxed structure of La2PmSm6Dy3, computed with PBE-GGA.

Unit cell a=6.291 b=10.901 c=12.040 alpha=90.00 beta=100.07 gamma=90.00
Space group C2/m (No. 12)
One atom of each set of equivalent atoms:
La1 0.000 0.166 0.000 [4 per cell]
Pm1 0.000 0.500 0.000 [2 per cell]
Sm1 0.247 0.500 0.745 [4 per cell]
Sm2 0.248 0.166 0.745 [8 per cell]
Dy1 0.000 0.000 0.500 [2 per cell]
Dy2 0.000 0.334 0.500 [4 per cell]

For the energy relative to the elements, the calculation gives 0.020 eV per atom. The value obtained for the calculated volume is 812.9 Å³ per cell.